No. 1
{"formula": "La6CoPb2N", "functional": "GGA-PBE", "state": "optimized geometry", "lattice_angstrom": [[7.521, 0.139, 0.002], [0.139, 7.522, 0.002], [3.831, 3.832, 5.227]], "species": ["Co", "La", "La", "La", "La", "La", "La", "N", "Pb", "Pb"], "fractional_positions": [[0.000, 0.000, 0.000], [0.252, 0.252, 0.497], [0.748, 0.748, 0.503], [0.734, 0.734, 0.998], [0.266, 0.266, 0.002], [0.252, 0.748, 0.000], [0.748, 0.252, 0.000], [0.500, 0.500, 0.000], [0.750, 0.250, 0.500], [0.250, 0.750, 0.500]], "formation_energy_uncorrected_ev_per_atom": -0.575, "spacegroup": "C2/m (12)", "dft_energy_ev_per_cell": -58.2}

---

No. 2
{"formula": "YLuRu", "functional": "GGA-PBE", "state": "optimized geometry", "lattice_angstrom": [[4.741, 0.000, 0.000], [2.370, 4.106, 0.000], [2.370, 1.369, 3.871]], "species": ["Y", "Ru", "Lu"], "fractional_positions": [[0.500, 0.500, 0.500], [0.250, 0.250, 0.250], [0.000, 0.000, 0.000]], "spacegroup": "F-43m (216)", "ef_ev_per_atom": -0.31, "dft_energy_ev_per_cell": -21.2}

---

No. 3
{"formula": "SmAlV", "functional": "GGA-PBE", "state": "optimized geometry", "lattice_angstrom": [[5.023, -0.651, -0.121], [0.414, 5.048, -0.121], [1.243, 1.005, 5.010]], "species": ["V", "V", "Sm", "Sm", "Al", "Al"], "fractional_positions": [[0.228, 0.888, 0.301], [0.888, 0.228, 0.301], [0.559, 0.059, 0.802], [0.059, 0.559, 0.802], [0.400, 0.400, 0.234], [0.715, 0.715, 0.370]], "spacegroup": "Cm (8)", "ef_ev_per_atom": 0.15, "de_polymorph_ev_per_fu": 0.00, "dft_energy_ev_per_cell": -34.3}

---

No. 4
{"formula": "PrBeRhN", "functional": "GGA-PBE", "state": "optimized geometry", "lattice_angstrom": [[-1.759, -2.980, -1.555], [1.301, -2.222, 2.786], [-6.685, 1.635, 4.427]], "species": ["N", "N", "Be", "Be", "Rh", "Rh", "Pr", "Pr"], "fractional_positions": [[0.000, 0.500, 0.136], [0.500, 0.000, 0.864], [0.000, 0.500, 0.332], [0.500, 0.000, 0.668], [0.500, 0.500, 0.500], [0.000, 0.000, 0.500], [0.000, 0.500, 0.838], [0.500, 0.000, 0.162]], "formation_energy_uncorrected_ev_per_atom": -0.941, "spacegroup": "P4/nmm (129)", "dft_energy_ev_per_cell": -55.9}

---

No. 5
{"formula": "Sm3Te2S", "functional": "GGA-PBE", "state": "optimized geometry", "lattice_angstrom": [[6.569, -0.334, 3.406], [2.471, 7.016, 1.281], [0.335, -0.167, 7.392]], "species": ["Sm", "Sm", "Sm", "Sm", "Sm", "Sm", "Te", "Te", "Te", "Te", "S", "S"], "fractional_positions": [[0.291, 0.209, 0.000], [0.709, 0.791, 0.000], [0.074, 0.782, 0.360], [0.433, 0.782, 0.640], [0.567, 0.218, 0.360], [0.926, 0.218, 0.640], [0.000, 0.000, 0.000], [0.500, 0.500, 0.000], [0.843, 0.500, 0.314], [0.157, 0.500, 0.686], [0.331, 0.000, 0.337], [0.669, 0.000, 0.663]], "formation_energy_uncorrected_ev_per_atom": -1.596, "spacegroup": "C2/m (12)", "de_polymorph_ev_per_fu": 0.00, "dft_energy_ev_per_cell": -68.3}

---

No. 6
{"formula": "Ni6Pt8W", "functional": "GGA-PBE", "state": "optimized geometry", "lattice_angstrom": [[5.101, 0.000, 0.000], [0.000, 6.201, -3.580], [0.000, 0.000, 7.160]], "species": ["Ni", "Ni", "Ni", "Ni", "Ni", "Ni", "Pt", "Pt", "Pt", "Pt", "Pt", "Pt", "Pt", "Pt", "W"], "fractional_positions": [[0.358, 0.330, 0.970], [0.642, 0.670, 0.030], [0.642, 0.970, 0.639], [0.358, 0.030, 0.361], [0.642, 0.361, 0.330], [0.358, 0.639, 0.670], [0.851, 0.294, 0.979], [0.615, 0.333, 0.667], [0.851, 0.021, 0.315], [0.385, 0.667, 0.333], [0.851, 0.685, 0.706], [0.149, 0.979, 0.685], [0.149, 0.315, 0.294], [0.149, 0.706, 0.021], [0.500, 0.000, 0.000]], "spacegroup": "P-3 (147)", "ef_ev_per_atom": 0.09, "de_polymorph_ev_per_fu": 1.81, "dft_energy_ev_per_cell": -94.6}

---

No. 7
{"formula": "Pr3Pt", "functional": "GGA-PBE", "state": "optimized geometry", "lattice_angstrom": [[6.504, 0.000, 0.000], [0.000, 12.222, 0.000], [0.000, 0.000, 12.222]], "species": ["Pr", "Pr", "Pr", "Pr", "Pr", "Pr", "Pr", "Pr", "Pr", "Pr", "Pr", "Pr", "Pr", "Pr", "Pr", "Pr", "Pr", "Pr", "Pr", "Pr", "Pr", "Pr", "Pr", "Pr", "Pt", "Pt", "Pt", "Pt", "Pt", "Pt", "Pt", "Pt"], "fractional_positions": [[0.769, 0.445, 0.633], [0.045, 0.580, 0.871], [0.731, 0.945, 0.133], [0.537, 0.341, 0.215], [0.231, 0.633, 0.555], [0.463, 0.785, 0.341], [0.037, 0.285, 0.841], [0.731, 0.055, 0.867], [0.955, 0.871, 0.420], [0.955, 0.129, 0.580], [0.545, 0.629, 0.080], [0.545, 0.371, 0.920], [0.455, 0.080, 0.371], [0.269, 0.867, 0.945], [0.269, 0.133, 0.055], [0.963, 0.159, 0.285], [0.963, 0.841, 0.715], [0.769, 0.555, 0.367], [0.537, 0.659, 0.785], [0.231, 0.367, 0.445], [0.037, 0.715, 0.159], [0.045, 0.420, 0.129], [0.455, 0.920, 0.629], [0.463, 0.215, 0.659], [0.255, 0.433, 0.689], [0.755, 0.189, 0.067], [0.745, 0.689, 0.567], [0.245, 0.067, 0.811], [0.755, 0.811, 0.933], [0.255, 0.567, 0.311], [0.245, 0.933, 0.189], [0.745, 0.311, 0.433]], "spacegroup": "P4_2/n (86)", "ef_ev_per_atom": -0.54, "dft_energy_ev_per_cell": -180.2}

---

No. 8
{"formula": "NaCeBr6", "functional": "GGA-PBE", "state": "optimized geometry", "lattice_angstrom": [[6.626, 0.000, 0.000], [0.000, 6.250, -3.608], [0.000, 0.000, 7.217]], "species": ["Br", "Br", "Br", "Br", "Br", "Br", "Ce", "Na"], "fractional_positions": [[0.758, 0.662, 0.015], [0.242, 0.985, 0.338], [0.242, 0.352, 0.015], [0.242, 0.662, 0.648], [0.758, 0.352, 0.338], [0.758, 0.985, 0.648], [0.000, 0.667, 0.333], [0.500, 0.000, 0.000]], "formation_energy_uncorrected_ev_per_atom": -1.244, "spacegroup": "P312 (149)", "de_polymorph_ev_per_fu": 0.14, "dft_energy_ev_per_cell": -27.2}

---

No. 9
{"formula": "YIrRu4", "functional": "GGA-PBE", "state": "optimized geometry", "lattice_angstrom": [[0.000, 3.663, 3.663], [3.663, 0.000, 3.663], [3.663, 3.663, 0.000]], "species": ["Ru", "Ru", "Ru", "Ru", "Ir", "Y"], "fractional_positions": [[0.374, 0.374, 0.877], [0.374, 0.877, 0.374], [0.374, 0.374, 0.374], [0.877, 0.374, 0.374], [0.000, 0.000, 0.000], [0.750, 0.750, 0.750]], "spacegroup": "F-43m (216)", "ef_ev_per_atom": 0.19, "dft_energy_ev_per_cell": -51.3}

---

No. 10
{"formula": "CsZr3Pt", "functional": "GGA-PBE", "state": "optimized geometry", "lattice_angstrom": [[5.162, 0.000, 0.000], [0.000, 5.162, 0.000], [0.000, 0.000, 5.162]], "species": ["Zr", "Zr", "Zr", "Pt", "Cs"], "fractional_positions": [[0.000, 0.000, 0.500], [0.500, 0.000, 0.000], [0.000, 0.500, 0.000], [0.500, 0.500, 0.500], [0.000, 0.000, 0.000]], "spacegroup": "Pm-3m (221)", "ef_ev_per_atom": 2.07, "de_polymorph_ev_per_fu": 7.90, "dft_energy_ev_per_cell": -22.2}

---

No. 11
{"formula": "Mg4Cd5", "functional": "GGA-PBE", "state": "optimized geometry", "lattice_angstrom": [[-7.538, -4.105, -1.317], [4.025, -0.665, 7.666], [-3.012, 4.888, 2.006]], "species": ["Cd", "Cd", "Cd", "Cd", "Cd", "Cd", "Cd", "Cd", "Cd", "Cd", "Mg", "Mg", "Mg", "Mg", "Mg", "Mg", "Mg", "Mg"], "fractional_positions": [[0.333, 0.667, 0.500], [0.000, 0.689, 0.250], [0.689, 0.000, 0.250], [0.000, 0.311, 0.750], [0.311, 0.000, 0.750], [0.689, 0.689, 0.750], [0.311, 0.311, 0.250], [0.667, 0.333, 0.500], [0.333, 0.667, 0.000], [0.667, 0.333, 0.000], [0.000, 0.000, 0.500], [0.000, 0.354, 0.250], [0.354, 0.000, 0.250], [0.000, 0.646, 0.750], [0.646, 0.000, 0.750], [0.646, 0.646, 0.250], [0.354, 0.354, 0.750], [0.000, 0.000, 0.000]], "spacegroup": "P6_3/mcm (193)", "ef_ev_per_atom": -0.04, "de_polymorph_ev_per_fu": 0.29, "dft_energy_ev_per_cell": -22.6}

---

No. 12
{"formula": "Ba2Na3Li2", "functional": "GGA-PBE", "state": "optimized geometry", "lattice_angstrom": [[5.196, 0.000, 0.000], [-2.598, 6.416, -1.143], [0.000, -0.038, 8.623]], "species": ["Ba", "Ba", "Na", "Na", "Na", "Li", "Li"], "fractional_positions": [[0.628, 0.256, 0.350], [0.372, 0.744, 0.650], [0.000, 0.000, 0.000], [0.312, 0.625, 0.132], [0.688, 0.375, 0.868], [0.082, 0.163, 0.655], [0.918, 0.837, 0.345]], "spacegroup": "C2/m (12)", "ef_ev_per_atom": 0.02, "de_polymorph_ev_per_fu": 0.00, "dft_energy_ev_per_cell": -11.5}

---

No. 13
{"formula": "La2ZrZn", "functional": "GGA-PBE", "state": "optimized geometry", "lattice_angstrom": [[-4.783, 2.865, 1.395], [-4.977, 2.086, -1.978], [-3.462, -4.380, 1.212]], "species": ["La", "La", "Zr", "Zn"], "fractional_positions": [[0.017, 0.017, 0.979], [0.483, 0.483, 0.521], [0.250, 0.250, 0.250], [0.750, 0.750, 0.750]], "spacegroup": "C2/m (12)", "ef_ev_per_atom": 0.13, "dft_energy_ev_per_cell": -19.2}

---

No. 14
{"formula": "Ac4Nd3Dy2", "functional": "GGA-PBE", "state": "optimized geometry", "lattice_angstrom": [[5.416, 0.001, 0.000], [2.708, 5.684, 1.554], [-0.001, 0.318, 11.345]], "species": ["Nd", "Nd", "Nd", "Ac", "Ac", "Ac", "Ac", "Dy", "Dy"], "fractional_positions": [[0.666, 0.667, 0.552], [0.000, 0.000, 0.000], [0.334, 0.333, 0.448], [0.666, 0.667, 0.889], [0.997, 0.005, 0.668], [0.334, 0.333, 0.111], [0.003, 0.995, 0.332], [0.329, 0.342, 0.773], [0.671, 0.658, 0.227]], "spacegroup": "C2/m (12)", "ef_ev_per_atom": 0.04, "dft_energy_ev_per_cell": -39.5}

---

No. 15
{"formula": "Fe2RePt", "functional": "GGA-PBE", "state": "optimized geometry", "lattice_angstrom": [[8.739, -0.007, -0.004], [8.323, 2.665, -0.004], [8.323, 1.297, 2.328]], "species": ["Fe", "Fe", "Pt", "Re"], "fractional_positions": [[0.999, 0.999, 0.999], [0.254, 0.254, 0.254], [0.503, 0.503, 0.503], [0.743, 0.743, 0.743]], "spacegroup": "R3m (160)", "ef_ev_per_atom": 0.06, "dft_energy_ev_per_cell": -35.2}

---

No. 16
{"formula": "BaNb2Os", "functional": "GGA-PBE", "state": "optimized geometry", "lattice_angstrom": [[1.879, 1.707, 4.094], [-2.554, 3.025, 2.745], [-1.731, -1.478, 4.246]], "species": ["Ba", "Nb", "Nb", "Os"], "fractional_positions": [[0.000, 0.000, 0.000], [0.250, 0.250, 0.250], [0.750, 0.750, 0.750], [0.500, 0.500, 0.500]], "spacegroup": "Fm-3m (225)", "ef_ev_per_atom": 0.87, "de_polymorph_ev_per_fu": 0.00, "dft_energy_ev_per_cell": -29.8}

---

For reference, total magnetic moment by record: 0.000 0.000 0.000 0.000 0.000 0.000 0.000 1.140 1.045 0.991 0.000 0.000 0.000 0.000 3.919 0.000 μB/f.u..